a:
La2Tl2Si PBE-GGA relaxed; DOS at the Fermi energy = 11.4 states/eV/cell; crystal system = tetragonal; calculated density = 7.0 g/cm³; volume = 33.98 Å³ per atom
1.0
4.972 0.000 0.000
0.000 4.972 0.000
0.000 0.000 13.744
La Tl Si
4 4 2
direct
0.000 0.500 0.250
0.000 0.500 0.750
0.500 0.000 0.250
0.500 0.000 0.750
0.000 0.000 0.098
0.000 0.000 0.902
0.500 0.500 0.402
0.500 0.500 0.598
0.000 0.000 0.500
0.500 0.500 0.000

---

b:
La2Tl2Si PBE-GGA relaxed; DOS at the Fermi energy = 3.7 states/eV/cell; crystal system = tetragonal; calculated density = 7.5 g/cm³; volume = 31.46 Å³ per atom
1.0
7.876 0.000 0.000
0.000 7.876 0.000
0.000 0.000 5.071
La Tl Si
4 4 2
direct
0.151 0.349 0.000
0.349 0.849 0.000
0.651 0.151 0.000
0.849 0.651 0.000
0.156 0.656 0.500
0.344 0.156 0.500
0.656 0.844 0.500
0.844 0.344 0.500
0.000 0.000 0.000
0.500 0.500 0.000

---

If we sort the structures by their calculated energies, the order from most to least stable is b, a.

---

a:
La2TmSi2 PBE-GGA relaxed; DOS at the Fermi energy = 7.5 states/eV/cell; crystal system = tetragonal; calculated density = 6.3 g/cm³; volume = 26.36 Å³ per atom
1.0
7.629 0.000 0.000
0.000 7.629 0.000
0.000 0.000 4.529
La Tm Si
4 2 4
direct
0.178 0.322 0.000
0.322 0.822 0.000
0.678 0.178 0.000
0.822 0.678 0.000
0.000 0.000 0.500
0.500 0.500 0.500
0.114 0.614 0.500
0.386 0.114 0.500
0.614 0.886 0.500
0.886 0.386 0.500

---

b:
La2TmSi2 PBE-GGA relaxed; DOS at the Fermi energy = 7.7 states/eV/cell; crystal system = monoclinic; calculated density = 6.2 g/cm³; volume = 26.91 Å³ per atom
1.0
6.293 -2.209 0.000
6.293 2.209 0.000
-5.076 0.000 9.680
La Tm Si
4 2 4
direct
0.016 0.016 0.189
0.180 0.180 0.593
0.820 0.820 0.407
0.984 0.984 0.811
0.274 0.274 0.129
0.726 0.726 0.871
0.389 0.389 0.947
0.495 0.495 0.608
0.505 0.505 0.392
0.611 0.611 0.053

---

If we sort the structures by their calculated energies, the order from most to least stable is a, b.

---

a:
LaVSi2 PBE-GGA relaxed; DOS at the Fermi energy = 8.2 states/eV/cell; crystal system = cubic; calculated density = 5.2 g/cm³; volume = 19.54 Å³ per atom
1.0
6.787 0.000 0.000
0.000 6.787 0.000
0.000 0.000 6.787
La V Si
4 4 8
direct
0.000 0.000 0.000
0.000 0.500 0.500
0.500 0.000 0.500
0.500 0.500 0.000
0.000 0.000 0.500
0.000 0.500 0.000
0.500 0.000 0.000
0.500 0.500 0.500
0.250 0.250 0.250
0.250 0.250 0.750
0.250 0.750 0.250
0.250 0.750 0.750
0.750 0.250 0.250
0.750 0.250 0.750
0.750 0.750 0.250
0.750 0.750 0.750

---

b:
LaVSi2 PBE-GGA relaxed; DOS at the Fermi energy = 10.2 states/eV/cell; crystal system = trigonal; calculated density = 5.0 g/cm³; volume = 20.28 Å³ per atom
1.0
4.200 0.000 0.000
-2.100 3.637 0.000
0.000 0.000 15.931
La V Si
3 3 6
direct
0.000 0.000 0.000
0.333 0.667 0.667
0.667 0.333 0.333
0.000 0.000 0.500
0.333 0.667 0.167
0.667 0.333 0.833
0.000 0.000 0.211
0.000 0.000 0.789
0.333 0.667 0.455
0.333 0.667 0.878
0.667 0.333 0.122
0.667 0.333 0.545

---

If we sort the structures by their calculated energies, the order from most to least stable is b, a.

---

a:
LaSi3W PBE-GGA relaxed; DOS at the Fermi energy = 9.3 states/eV/cell; crystal system = cubic; calculated density = 5.2 g/cm³; volume = 25.96 Å³ per atom
1.0
5.063 0.000 0.000
0.000 5.063 0.000
0.000 0.000 5.063
La Si W
1 3 1
direct
0.000 0.000 0.000
0.000 0.000 0.500
0.000 0.500 0.000
0.500 0.000 0.000
0.500 0.500 0.500

---

b:
LaSi3W PBE-GGA relaxed; DOS at the Fermi energy = 2.7 states/eV/cell; crystal system = cubic; calculated density = 6.3 g/cm³; volume = 21.55 Å³ per atom
1.0
4.759 0.000 0.000
0.000 4.759 0.000
0.000 0.000 4.759
La Si W
1 3 1
direct
0.000 0.000 0.000
0.000 0.500 0.500
0.500 0.000 0.500
0.500 0.500 0.000
0.500 0.500 0.500

---

If we sort the structures by their calculated energies, the order from most to least stable is b, a.

---

a:
La3YSi PBE-GGA relaxed; DOS at the Fermi energy = 14.6 states/eV/cell; crystal system = cubic; calculated density = 4.6 g/cm³; volume = 38.65 Å³ per atom
1.0
5.782 0.000 0.000
0.000 5.782 0.000
0.000 0.000 5.782
La Y Si
3 1 1
direct
0.000 0.000 0.500
0.000 0.500 0.000
0.500 0.000 0.000
0.500 0.500 0.500
0.000 0.000 0.000

---

b:
La3YSi PBE-GGA relaxed; DOS at the Fermi energy = 5.4 states/eV/cell; crystal system = cubic; calculated density = 4.9 g/cm³; volume = 36.00 Å³ per atom
1.0
5.646 0.000 0.000
0.000 5.646 0.000
0.000 0.000 5.646
La Y Si
3 1 1
direct
0.000 0.000 0.500
0.000 0.500 0.000
0.500 0.000 0.000
0.000 0.000 0.000
0.500 0.500 0.500

---

If we sort the structures by their calculated energies, the order from most to least stable is a, b.

---

a:
LaY2Si2 PBE-GGA relaxed; DOS at the Fermi energy = 10.8 states/eV/cell; crystal system = tetragonal; calculated density = 4.2 g/cm³; volume = 29.31 Å³ per atom
1.0
5.238 0.000 0.000
0.000 5.238 0.000
0.000 0.000 10.683
La Y Si
2 4 4
direct
0.000 0.000 0.000
0.500 0.500 0.500
0.000 0.000 0.333
0.000 0.000 0.667
0.500 0.500 0.167
0.500 0.500 0.833
0.000 0.500 0.250
0.000 0.500 0.750
0.500 0.000 0.250
0.500 0.000 0.750

---

b:
LaY2Si2 PBE-GGA relaxed; DOS at the Fermi energy = 12.0 states/eV/cell; crystal system = tetragonal; calculated density = 4.9 g/cm³; volume = 25.33 Å³ per atom
1.0
8.278 0.000 0.000
0.000 8.278 0.000
0.000 0.000 3.697
La Y Si
2 4 4
direct
0.000 0.000 0.000
0.500 0.500 0.000
0.147 0.353 0.500
0.353 0.853 0.500
0.647 0.147 0.500
0.853 0.647 0.500
0.153 0.653 0.000
0.347 0.153 0.000
0.653 0.847 0.000
0.847 0.347 0.000

---

If we sort the structures by their calculated energies, the order from most to least stable is b, a.

---

a:
La3ZnSi PBE-GGA relaxed; DOS at the Fermi energy = 12.4 states/eV/cell; crystal system = cubic; calculated density = 4.6 g/cm³; volume = 36.94 Å³ per atom
1.0
5.695 0.000 0.000
0.000 5.695 0.000
0.000 0.000 5.695
La Zn Si
3 1 1
direct
0.000 0.000 0.500
0.000 0.500 0.000
0.500 0.000 0.000
0.500 0.500 0.500
0.000 0.000 0.000

---

b:
La3ZnSi PBE-GGA relaxed; DOS at the Fermi energy = 9.1 states/eV/cell; crystal system = triclinic; calculated density = 5.9 g/cm³; volume = 28.66 Å³ per atom
1.0
4.259 0.000 0.000
2.035 7.225 0.000
0.100 0.034 9.316
La Zn Si
6 2 2
direct
0.043 0.405 0.165
0.243 0.012 0.825
0.403 0.676 0.393
0.597 0.324 0.607
0.757 0.988 0.175
0.957 0.595 0.835
0.207 0.098 0.436
0.793 0.902 0.564
0.395 0.710 0.069
0.605 0.290 0.931

---

If we sort the structures by their calculated energies, the order from most to least stable is b, a.

---

a:
LaZn3Si PBE-GGA relaxed; DOS at the Fermi energy = 3.0 states/eV/cell; crystal system = monoclinic; calculated density = 6.3 g/cm³; volume = 19.07 Å³ per atom
1.0
5.968 0.000 0.000
0.000 5.967 0.000
-2.971 0.000 5.355
La Zn Si
2 6 2
direct
0.000 0.000 0.000
0.500 0.500 0.000
0.005 0.249 0.510
0.005 0.751 0.510
0.121 0.500 0.243
0.505 0.251 0.510
0.505 0.749 0.510
0.621 0.000 0.243
0.393 0.000 0.786
0.893 0.500 0.786

---

b:
LaZn3Si PBE-GGA relaxed; DOS at the Fermi energy = 6.0 states/eV/cell; crystal system = cubic; calculated density = 3.5 g/cm³; volume = 34.87 Å³ per atom
1.0
5.587 0.000 0.000
0.000 5.587 0.000
0.000 0.000 5.587
La Zn Si
1 3 1
direct
0.000 0.000 0.000
0.000 0.000 0.500
0.000 0.500 0.000
0.500 0.000 0.000
0.500 0.500 0.500

---

c:
LaZn3Si PBE-GGA relaxed; DOS at the Fermi energy = 2.8 states/eV/cell; crystal system = cubic; calculated density = 5.5 g/cm³; volume = 21.75 Å³ per atom
1.0
4.773 0.000 0.000
0.000 4.773 0.000
0.000 0.000 4.773
La Zn Si
1 3 1
direct
0.000 0.000 0.000
0.000 0.500 0.500
0.500 0.000 0.500
0.500 0.500 0.000
0.500 0.500 0.500

---

If we sort the structures by their calculated energies, the order from most to least stable is a, c, b.

---

a:
La3ZrSi PBE-GGA relaxed; DOS at the Fermi energy = 6.9 states/eV/cell; crystal system = cubic; calculated density = 5.2 g/cm³; volume = 34.06 Å³ per atom
1.0
5.543 0.000 0.000
0.000 5.543 0.000
0.000 0.000 5.543
La Zr Si
3 1 1
direct
0.000 0.000 0.500
0.000 0.500 0.000
0.500 0.000 0.000
0.000 0.000 0.000
0.500 0.500 0.500

---

b:
La3ZrSi PBE-GGA relaxed; DOS at the Fermi energy = 16.8 states/eV/cell; crystal system = cubic; calculated density = 4.9 g/cm³; volume = 36.44 Å³ per atom
1.0
5.669 0.000 0.000
0.000 5.669 0.000
0.000 0.000 5.669
La Zr Si
3 1 1
direct
0.000 0.000 0.500
0.000 0.500 0.000
0.500 0.000 0.000
0.500 0.500 0.500
0.000 0.000 0.000

---

If we sort the structures by their calculated energies, the order from most to least stable is b, a.

---

a:
LaZrSi2 PBE-GGA relaxed; DOS at the Fermi energy = 13.0 states/eV/cell; crystal system = tetragonal; calculated density = 4.4 g/cm³; volume = 26.76 Å³ per atom
1.0
4.859 0.000 0.000
0.000 4.859 0.000
0.000 0.000 18.136
La Zr Si
4 4 8
direct
0.000 0.000 0.000
0.000 0.500 0.250
0.500 0.000 0.750
0.500 0.500 0.500
0.000 0.000 0.500
0.000 0.500 0.750
0.500 0.000 0.250
0.500 0.500 0.000
0.078 0.250 0.625
0.250 0.578 0.875
0.250 0.922 0.375
0.422 0.250 0.125
0.578 0.750 0.125
0.750 0.078 0.375
0.750 0.422 0.875
0.922 0.750 0.625

---

b:
LaZrSi2 PBE-GGA relaxed; DOS at the Fermi energy = 6.1 states/eV/cell; crystal system = orthorhombic; calculated density = 5.2 g/cm³; volume = 22.85 Å³ per atom
1.0
3.628 0.000 0.000
0.000 4.068 0.000
0.000 0.000 12.385
La Zr Si
2 2 4
direct
0.000 0.000 0.000
0.500 0.500 0.500
0.000 0.500 0.766
0.500 0.000 0.266
0.000 0.000 0.614
0.000 0.500 0.254
0.500 0.000 0.754
0.500 0.500 0.114

---

c:
LaZrSi2 PBE-GGA relaxed; DOS at the Fermi energy = 4.0 states/eV/cell; crystal system = tetragonal; calculated density = 5.4 g/cm³; volume = 21.93 Å³ per atom
1.0
4.181 0.000 0.000
0.000 4.181 0.000
0.000 0.000 10.034
La Zr Si
2 2 4
direct
0.000 0.000 0.000
0.500 0.500 0.500
0.000 0.500 0.250
0.500 0.000 0.750
0.000 0.000 0.500
0.000 0.500 0.750
0.500 0.000 0.250
0.500 0.500 0.000

---

If we sort the structures by their calculated energies, the order from most to least stable is b, c, a.

---

a:
La2ZrSi2 PBE-GGA relaxed; DOS at the Fermi energy = 7.4 states/eV/cell; crystal system = tetragonal; calculated density = 5.7 g/cm³; volume = 24.95 Å³ per atom
1.0
7.432 0.000 0.000
0.000 7.432 0.000
0.000 0.000 4.517
La Zr Si
4 2 4
direct
0.178 0.322 0.000
0.322 0.822 0.000
0.678 0.178 0.000
0.822 0.678 0.000
0.000 0.000 0.500
0.500 0.500 0.500
0.121 0.621 0.500
0.379 0.121 0.500
0.621 0.879 0.500
0.879 0.379 0.500

---

b:
La2ZrSi2 PBE-GGA relaxed; DOS at the Fermi energy = 7.0 states/eV/cell; crystal system = tetragonal; calculated density = 5.0 g/cm³; volume = 28.27 Å³ per atom
1.0
5.508 0.000 0.000
0.000 5.508 0.000
0.000 0.000 9.319
La Zr Si
4 2 4
direct
0.000 0.000 0.163
0.000 0.000 0.837
0.500 0.500 0.337
0.500 0.500 0.663
0.000 0.000 0.500
0.500 0.500 0.000
0.000 0.500 0.250
0.000 0.500 0.750
0.500 0.000 0.250
0.500 0.000 0.750

---

If we sort the structures by their calculated energies, the order from most to least stable is a, b.

---

a:
LaZrSi PBE-GGA relaxed; DOS at the Fermi energy = 7.4 states/eV/cell; crystal system = tetragonal; calculated density = 5.7 g/cm³; volume = 24.97 Å³ per atom
1.0
4.304 0.000 0.000
0.000 4.304 0.000
0.000 0.000 8.087
La Zr Si
2 2 2
direct
0.250 0.250 0.144
0.750 0.750 0.856
0.250 0.750 0.500
0.750 0.250 0.500
0.250 0.250 0.732
0.750 0.750 0.268

---

b:
LaZrSi PBE-GGA relaxed; DOS at the Fermi energy = 3.0 states/eV/cell; crystal system = trigonal; calculated density = 5.2 g/cm³; volume = 27.40 Å³ per atom
1.0
3.908 0.000 0.000
-1.954 3.384 0.000
0.000 0.000 6.217
La Zr Si
1 1 1
direct
0.000 0.000 0.000
0.667 0.333 0.537
0.333 0.667 0.316

---

c:
LaZrSi PBE-GGA relaxed; DOS at the Fermi energy = 7.6 states/eV/cell; crystal system = cubic; calculated density = 5.5 g/cm³; volume = 26.15 Å³ per atom
1.0
6.795 0.000 0.000
0.000 6.795 0.000
0.000 0.000 6.795
La Zr Si
4 4 4
direct
0.000 0.000 0.000
0.000 0.500 0.500
0.500 0.000 0.500
0.500 0.500 0.000
0.000 0.000 0.500
0.000 0.500 0.000
0.500 0.000 0.000
0.500 0.500 0.500
0.250 0.250 0.250
0.250 0.750 0.750
0.750 0.250 0.750
0.750 0.750 0.250

---

If we sort the structures by their calculated energies, the order from most to least stable is a, c, b.